Entry w
The following is a DFT calculation (PBE-GGA) of a geometry-optimized NaNdZnSe3 structure.

```
NaNdZnSe3
1.0
8.4053 0.0000 0.0000
0.0000 4.2178 0.0000
0.0000 0.0000 16.8791
Na Nd Zn Se
4 4 4 12
Cartesian
0.5690 1.0545 3.8121
3.6337 3.1634 12.2517
4.7716 1.0545 4.6275
7.8363 3.1634 13.0671
2.0023 1.0545 16.0431
2.2003 3.1634 7.6036
6.2049 1.0545 9.2756
6.4030 3.1634 0.8360
1.1081 1.0545 10.8532
3.0945 3.1634 2.4136
5.3108 1.0545 14.4655
7.2971 3.1634 6.0260
0.0064 3.1634 9.9114
1.0623 3.1634 0.9871
1.6222 1.0545 13.1900
2.5804 3.1634 4.7504
3.1403 1.0545 9.4267
4.1963 1.0545 1.4719
4.2090 3.1634 15.4073
5.2650 3.1634 7.4525
5.8249 1.0545 12.1287
6.7830 3.1634 3.6892
7.3429 1.0545 15.8920
8.3989 1.0545 6.9677
```



Entry x
The following is a DFT calculation (PBE-GGA) of a geometry-optimized NaNdZnSe3 structure.

```
NaNdZnSe3
1.0
9.7565 -2.0841 0.0000
9.7565 2.0841 0.0000
-2.0507 0.0000 7.8868
Na Nd Zn Se
2 2 2 6
Cartesian
2.0926 0.0000 0.5967
15.3697 0.0000 7.2900
2.1758 0.0000 4.6627
15.2865 0.0000 3.2241
8.5125 0.0000 2.1316
8.9498 0.0000 5.7551
-1.0254 0.0000 3.9434
5.0234 0.0000 5.1907
6.2316 0.0000 1.2855
9.7565 0.0000 0.0000
11.2307 0.0000 6.6013
12.4389 0.0000 2.6961
```



Entry y
The following is a DFT calculation (PBE-GGA) of a geometry-optimized NaNdZnSe3 structure.

```
NaNdZnSe3
1.0
8.2854 0.0000 0.0000
0.0000 4.1495 0.0000
-2.2772 0.0000 9.7029
Na Nd Zn Se
2 2 2 6
Cartesian
1.3169 1.0374 2.4118
4.6913 3.1122 7.2911
0.6091 3.1122 8.3465
5.3991 1.0374 1.3564
-0.7266 1.0374 5.8482
6.7347 3.1122 3.8547
-1.4784 1.0374 8.1799
0.6125 3.1122 5.2188
3.3136 3.1122 1.5406
2.6946 1.0374 8.1623
5.3957 1.0374 4.4841
7.4866 3.1122 1.5230
```



Least stable structure: entry x



Entry w
The following is a DFT calculation (PBE-GGA) of a geometry-optimized NaNdTe structure.

```
NaNdTe
1.0
0.0000 3.7190 3.7190
3.7190 0.0000 3.7190
3.7190 3.7190 0.0000
Na Nd Te
1 1 1
Cartesian
0.0000 0.0000 0.0000
1.8595 1.8595 1.8595
3.7190 3.7190 3.7190
```



Entry x
The following is a DFT calculation (PBE-GGA) of a geometry-optimized NaNdTe structure.

```
NaNdTe
1.0
0.0000 3.6546 3.6546
3.6546 0.0000 3.6546
3.6546 3.6546 0.0000
Na Nd Te
1 1 1
Cartesian
0.0000 0.0000 0.0000
3.6546 3.6546 3.6546
1.8273 1.8273 1.8273
```



Least stable structure: entry w



Entry w
The following is a DFT calculation (PBE-GGA) of a geometry-optimized NaNdW structure.

```
NaNdW
1.0
0.0000 3.5252 3.5252
3.5252 0.0000 3.5252
3.5252 3.5252 0.0000
Na Nd W
1 1 1
Cartesian
0.0000 0.0000 0.0000
3.5252 3.5252 3.5252
1.7626 1.7626 1.7626
```



Entry x
The following is a DFT calculation (PBE-GGA) of a geometry-optimized NaNdW structure.

```
NaNdW
1.0
9.2016 0.0000 0.0000
-4.6008 7.9689 0.0000
0.0000 0.0000 2.8193
Na Nd W
3 3 3
Cartesian
-1.4244 2.4672 0.0000
2.8488 0.0000 0.0000
3.1764 5.5017 0.0000
-2.9524 5.1136 1.4097
1.6485 2.8552 1.4097
5.9047 0.0000 1.4097
0.0000 0.0000 1.4097
0.0000 5.3126 0.0000
4.6008 2.6563 0.0000
```



Entry y
The following is a DFT calculation (PBE-GGA) of a geometry-optimized NaNdW structure.

```
NaNdW
1.0
0.0000 3.5140 3.5140
3.5140 0.0000 3.5140
3.5140 3.5140 0.0000
Na Nd W
1 1 1
Cartesian
0.0000 0.0000 0.0000
1.7570 1.7570 1.7570
3.5140 3.5140 3.5140
```



Least stable structure: entry y



Entry w
The following is a DFT calculation (PBE-GGA) of a geometry-optimized NaNiOs structure.

```
NaNiOs
1.0
0.0000 2.9099 2.9099
2.9099 0.0000 2.9099
2.9099 2.9099 0.0000
Na Ni Os
1 1 1
Cartesian
0.0000 0.0000 0.0000
1.4549 1.4549 1.4549
2.9099 2.9099 2.9099
```



Entry x
The following is a DFT calculation (PBE-GGA) of a geometry-optimized NaNiOs structure.

```
NaNiOs
1.0
0.0000 2.9815 2.9815
2.9815 0.0000 2.9815
2.9815 2.9815 0.0000
Na Ni Os
1 1 1
Cartesian
0.0000 0.0000 0.0000
4.4722 4.4722 4.4722
1.4907 1.4907 1.4907
```



Least stable structure: entry x



Entry w
The following is a DFT calculation (PBE-GGA) of a geometry-optimized NaTlNiPb structure.

```
NaTlNiPb
1.0
0.0000 3.4956 3.4956
3.4956 0.0000 3.4956
3.4956 3.4956 0.0000
Na Tl Ni Pb
1 1 1 1
Cartesian
0.0000 0.0000 0.0000
5.2434 5.2434 5.2434
3.4956 3.4956 3.4956
1.7478 1.7478 1.7478
```



Entry x
The following is a DFT calculation (PBE-GGA) of a geometry-optimized NaTlNiPb structure.

```
NaTlNiPb
1.0
0.0000 3.5818 3.5818
3.5818 0.0000 3.5818
3.5818 3.5818 0.0000
Na Tl Ni Pb
1 1 1 1
Cartesian
0.0000 0.0000 0.0000
3.5818 3.5818 3.5818
5.3727 5.3727 5.3727
1.7909 1.7909 1.7909
```



Entry y
The following is a DFT calculation (PBE-GGA) of a geometry-optimized NaTlNiPb structure.

```
NaTlNiPb
1.0
0.0000 3.5920 3.5920
3.5920 0.0000 3.5920
3.5920 3.5920 0.0000
Na Tl Ni Pb
1 1 1 1
Cartesian
0.0000 0.0000 0.0000
5.3880 5.3880 5.3880
1.7960 1.7960 1.7960
3.5920 3.5920 3.5920
```



Least stable structure: entry x



Entry w
The following is a DFT calculation (PBE-GGA) of a geometry-optimized NaPuNi structure.

```
NaPuNi
1.0
0.0000 3.3364 3.3364
3.3364 0.0000 3.3364
3.3364 3.3364 0.0000
Na Pu Ni
1 1 1
Cartesian
0.0000 0.0000 0.0000
1.6682 1.6682 1.6682
3.3364 3.3364 3.3364
```



Entry x
The following is a DFT calculation (PBE-GGA) of a geometry-optimized NaPuNi structure.

```
NaPuNi
1.0
0.0000 3.2989 3.2989
3.2989 0.0000 3.2989
3.2989 3.2989 0.0000
Na Pu Ni
1 1 1
Cartesian
0.0000 0.0000 0.0000
3.2989 3.2989 3.2989
4.9484 4.9484 4.9484
```



Least stable structure: entry w



Entry w
The following is a DFT calculation (PBE-GGA) of a geometry-optimized NaSrNiSb structure.

```
NaSrNiSb
1.0
0.0000 3.7099 3.7099
3.7099 0.0000 3.7099
3.7099 3.7099 0.0000
Na Sr Ni Sb
1 1 1 1
Cartesian
0.0000 0.0000 0.0000
3.7099 3.7099 3.7099
1.8550 1.8550 1.8550
5.5649 5.5649 5.5649
```



Entry x
The following is a DFT calculation (PBE-GGA) of a geometry-optimized NaSrNiSb structure.

```
NaSrNiSb
1.0
0.0000 3.5188 3.5188
3.5188 0.0000 3.5188
3.5188 3.5188 0.0000
Na Sr Ni Sb
1 1 1 1
Cartesian
0.0000 0.0000 0.0000
1.7594 1.7594 1.7594
3.5188 3.5188 3.5188
5.2781 5.2781 5.2781
```



Least stable structure: entry w



Entry w
The following is a DFT calculation (PBE-GGA) of a geometry-optimized NaZnNiSb structure.

```
NaZnNiSb
1.0
0.0000 3.3111 3.3111
3.3111 0.0000 3.3111
3.3111 3.3111 0.0000
Na Zn Ni Sb
1 1 1 1
Cartesian
0.0000 0.0000 0.0000
3.3111 3.3111 3.3111
4.9667 4.9667 4.9667
1.6556 1.6556 1.6556
```



Entry x
The following is a DFT calculation (PBE-GGA) of a geometry-optimized NaZnNiSb structure.

```
NaZnNiSb
1.0
0.0000 3.2716 3.2716
3.2716 0.0000 3.2716
3.2716 3.2716 0.0000
Na Zn Ni Sb
1 1 1 1
Cartesian
0.0000 0.0000 0.0000
4.9074 4.9074 4.9074
3.2716 3.2716 3.2716
1.6358 1.6358 1.6358
```



Entry y
The following is a DFT calculation (PBE-GGA) of a geometry-optimized NaZnNiSb structure.

```
NaZnNiSb
1.0
0.0000 3.3071 3.3071
3.3071 0.0000 3.3071
3.3071 3.3071 0.0000
Na Zn Ni Sb
1 1 1 1
Cartesian
0.0000 0.0000 0.0000
4.9607 4.9607 4.9607
1.6536 1.6536 1.6536
3.3071 3.3071 3.3071
```



Least stable structure: entry w